Computed, not measured: a relaxed structure of HfTaAlMo at the PBE-GGA level of DFT.

Structure (CIF):
```
data_HfTaAlMo
_chemical_formula_sum 'Hf4 Ta4 Al4 Mo4'
_space_group_name_H-M_alt 'F -4 3 m'
_space_group_IT_number 216
_space_group_name_Hall 'F -4 2 3'
_cell_length_a 6.5660
_cell_length_b 6.5660
_cell_length_c 6.5660
_cell_angle_alpha 90.00
_cell_angle_beta 90.00
_cell_angle_gamma 90.00
loop_
_atom_site_label
_atom_site_type_symbol
_atom_site_fract_x
_atom_site_fract_y
_atom_site_fract_z
Hf1 Hf 0.0000 0.0000 0.0000
Ta1 Ta 0.0000 0.0000 0.5000
Al1 Al 0.2500 0.2500 0.7500
Mo1 Mo 0.2500 0.2500 0.2500
```

Results
Final energy in eV/atom: -9.278
Calculated formation energy in eV per atom: -0.1826
Density of states at the Fermi level in states/eV/cell: 5.7



Computed, not measured: a relaxed structure of ReMo2Ir at the PBE-GGA level of DFT.

Structure (CIF):
```
data_ReMo2Ir
_chemical_formula_sum 'Re4 Mo8 Ir4'
_space_group_name_H-M_alt 'F m -3 m'
_space_group_IT_number 225
_space_group_name_Hall '-F 4 2 3'
_cell_length_a 6.2823
_cell_length_b 6.2823
_cell_length_c 6.2823
_cell_angle_alpha 90.00
_cell_angle_beta 90.00
_cell_angle_gamma 90.00
loop_
_atom_site_label
_atom_site_type_symbol
_atom_site_fract_x
_atom_site_fract_y
_atom_site_fract_z
Re1 Re 0.0000 0.0000 0.0000
Mo1 Mo 0.2500 0.2500 0.2500
Ir1 Ir 0.0000 0.0000 0.5000
```

Results
Final energy in eV/atom: -10.514
Calculated formation energy in eV per atom: 0.2286
Density of states at the Fermi level in states/eV/cell: 26.1
E above lowest polymorph in meV per atom: 298



Computed, not measured: a relaxed structure of PaReRu at the PBE-GGA level of DFT.

Structure (CIF):
```
data_PaReRu
_chemical_formula_sum 'Pa1 Re1 Ru1'
_space_group_name_H-M_alt 'P 3 m 1'
_space_group_IT_number 156
_cell_length_a 4.0950
_cell_length_b 4.0950
_cell_length_c 4.2188
_cell_angle_alpha 90.00
_cell_angle_beta 90.00
_cell_angle_gamma 120.00
loop_
_space_group_symop_operation_xyz
'x,y,z'
'-y,x-y,z'
'-x+y,-x,z'
'-y,-x,z'
'-x+y,y,z'
'x,x-y,z'
loop_
_atom_site_label
_atom_site_type_symbol
_atom_site_fract_x
_atom_site_fract_y
_atom_site_fract_z
Pa1 Pa 0.0000 0.0000 0.0000
Re1 Re 0.6667 0.3333 0.5760
Ru1 Ru 0.3333 0.6667 0.4292
```

Results
Final energy in eV/atom: -10.305
Calculated formation energy in eV per atom: 0.1013
Density of states at the Fermi level in states/eV/cell: 4.2
E above lowest polymorph in meV per atom: 377



Computed, not measured: a relaxed structure of Lu2CuRu at the PBE-GGA level of DFT.

Structure (CIF):
```
data_Lu2CuRu
_chemical_formula_sum 'Lu2 Cu1 Ru1'
_space_group_name_H-M_alt 'P 4/m m m'
_space_group_IT_number 123
_space_group_name_Hall '-P 4 2'
_cell_length_a 3.3506
_cell_length_b 3.3506
_cell_length_c 6.8022
_cell_angle_alpha 90.00
_cell_angle_beta 90.00
_cell_angle_gamma 90.00
loop_
_atom_site_label
_atom_site_type_symbol
_atom_site_fract_x
_atom_site_fract_y
_atom_site_fract_z
Lu1 Lu 0.0000 0.0000 0.2401
Cu1 Cu 0.5000 0.5000 0.5000
Ru1 Ru 0.5000 0.5000 0.0000
```

Results
Final energy in eV/atom: -6.052
Calculated formation energy in eV per atom: -0.4487
Density of states at the Fermi level in states/eV/cell: 3.2



Computed, not measured: a relaxed structure of Th3U2Tc4 at the PBE-GGA level of DFT.

Structure (CIF):
```
data_Th3U2Tc4
_chemical_formula_sum 'Th6 U4 Tc8'
_space_group_name_H-M_alt 'C 1 2/m 1'
_space_group_IT_number 12
_cell_length_a 11.2062
_cell_length_b 4.2518
_cell_length_c 8.9135
_cell_angle_alpha 90.00
_cell_angle_beta 101.22
_cell_angle_gamma 90.00
loop_
_space_group_symop_operation_xyz
'x,y,z'
'-x,-y,-z'
'-x,y,-z'
'x,-y,z'
'x+1/2,y+1/2,z'
'-x+1/2,-y+1/2,-z'
'-x+1/2,y+1/2,-z'
'x+1/2,-y+1/2,z'
loop_
_atom_site_label
_atom_site_type_symbol
_atom_site_fract_x
_atom_site_fract_y
_atom_site_fract_z
Th1 Th 0.0000 0.0000 0.0000
Th2 Th 0.1276 0.5000 0.3882
U1 U 0.1751 0.5000 0.7808
Tc1 Tc 0.0850 0.0000 0.6514
Tc2 Tc 0.2119 0.5000 0.0921
```

Results
Final energy in eV/atom: -9.764
Calculated formation energy in eV per atom: -0.1748
Density of states at the Fermi level in states/eV/cell: 20.5



Computed, not measured: a relaxed structure of WBr4Cl at the PBE-GGA level of DFT.

Structure (CIF):
```
data_WBr4Cl
_chemical_formula_sum 'W4 Br16 Cl4'
_space_group_name_H-M_alt 'F -4 3 m'
_space_group_IT_number 216
_space_group_name_Hall 'F -4 2 3'
_cell_length_a 8.5416
_cell_length_b 8.5416
_cell_length_c 8.5416
_cell_angle_alpha 90.00
_cell_angle_beta 90.00
_cell_angle_gamma 90.00
loop_
_atom_site_label
_atom_site_type_symbol
_atom_site_fract_x
_atom_site_fract_y
_atom_site_fract_z
W1 W 0.0000 0.0000 0.0000
Br1 Br 0.1256 0.1256 0.6256
Cl1 Cl 0.2500 0.2500 0.2500
```

Results
Final energy in eV/atom: -2.225
Formation energy without anion corrections in eV/f.u.: 8.14
Density of states at the Fermi level in states/eV/cell: 35.1
E above lowest polymorph in meV per atom: 1375



Computed, not measured: a relaxed structure of Sm4Al12Pt at the PBE-GGA level of DFT.

Structure (CIF):
```
data_Sm4Al12Pt
_chemical_formula_sum 'Sm8 Al24 Pt2'
_space_group_name_H-M_alt 'I m -3 m'
_space_group_IT_number 229
_space_group_name_Hall '-I 4 2 3'
_cell_length_a 8.7463
_cell_length_b 8.7463
_cell_length_c 8.7463
_cell_angle_alpha 90.00
_cell_angle_beta 90.00
_cell_angle_gamma 90.00
loop_
_atom_site_label
_atom_site_type_symbol
_atom_site_fract_x
_atom_site_fract_y
_atom_site_fract_z
Sm1 Sm 0.2500 0.2500 0.2500
Al1 Al 0.0000 0.0000 0.2926
Al2 Al 0.0000 0.2500 0.5000
Pt1 Pt 0.0000 0.0000 0.0000
```

Results
Final energy in eV/atom: -4.682
Calculated formation energy in eV per atom: -0.5747
Density of states at the Fermi level in states/eV/cell: 5.3



Computed, not measured: a relaxed structure of Np2Fe3Si5 at the PBE-GGA level of DFT.

Structure (CIF):
```
data_Np2Fe3Si5
_chemical_formula_sum 'Np8 Fe12 Si20'
_space_group_name_H-M_alt 'I b a m'
_space_group_IT_number 72
_space_group_name_Hall '-I 2 2c'
_cell_length_a 9.4592
_cell_length_b 11.6234
_cell_length_c 5.3777
_cell_angle_alpha 90.00
_cell_angle_beta 90.00
_cell_angle_gamma 90.00
loop_
_atom_site_label
_atom_site_type_symbol
_atom_site_fract_x
_atom_site_fract_y
_atom_site_fract_z
Np1 Np 0.2260 0.1403 0.0000
Fe1 Fe 0.0000 0.5000 0.2500
Fe2 Fe 0.0983 0.1458 0.5000
Si1 Si 0.0000 0.0000 0.2500
Si2 Si 0.0000 0.2915 0.2500
Si3 Si 0.1660 0.4090 0.0000
```

Results
Final energy in eV/atom: -8.268
Formation energy without anion corrections in eV/f.u.: -4.30
Density of states at the Fermi level in states/eV/cell: 71.4



Computed, not measured: a relaxed structure of Sb2I2Br at the PBE-GGA level of DFT.

Structure (CIF):
```
data_Sb2I2Br
_chemical_formula_sum 'Sb4 I4 Br2'
_space_group_name_H-M_alt 'P 4/m b m'
_space_group_IT_number 127
_space_group_name_Hall '-P 4 2ab'
_cell_length_a 9.3934
_cell_length_b 9.3934
_cell_length_c 3.9999
_cell_angle_alpha 90.00
_cell_angle_beta 90.00
_cell_angle_gamma 90.00
loop_
_atom_site_label
_atom_site_type_symbol
_atom_site_fract_x
_atom_site_fract_y
_atom_site_fract_z
Sb1 Sb 0.1077 0.3923 0.0000
I1 I 0.1586 0.6586 0.5000
Br1 Br 0.0000 0.0000 0.5000
```

Results
Final energy in eV/atom: -2.346
Formation energy without anion corrections in eV/f.u.: 1.29
Density of states at the Fermi level in states/eV/cell: 6.8
E above lowest polymorph in meV per atom: 237



Q: density of states at the Fermi level of number 1 (HfTaAlMo)?
A: 5.7 states/eV/cell



Q: Which formula does entry 9 have?
A: Sb2I2Br